# 1
A geometry-optimized RbMg2Ge2 structure. Source: Alexandria, functional PBE.

raw total energy: -2.840 eV/atom
magnetic moment: 0.00 μB per formula unit
DOS(E_F): 0.44 states/eV per atom
energy of formation: -0.1619 eV per atom

Cell: 6.5562 6.5562 6.5562 Å, 137.14 137.14 62.22°
With the nearest neighbours (Å) after each atom.
Element x y z (fractional)
1 Rb 0.0000 0.0000 0.0000  8 Ge 3.62, 8 Mg 3.69
2 Mg 0.2500 0.7500 0.5000  4 Ge 2.84
3 Mg 0.7500 0.2500 0.5000  4 Ge 2.84
4 Ge 0.3861 0.3861 0.0000  1 Ge 2.56, 4 Mg 2.84
5 Ge 0.6139 0.6139 0.0000  1 Ge 2.56, 4 Mg 2.84

# 2
A geometry-optimized Ba3In5S12 structure. Source: Alexandria, functional PBE.

raw total energy: -4.287 eV/atom
magnetic moment: 1.71 μB per formula unit
energy relative to the elements, uncorrected: -838 meV per atom
DOS(E_F): 1.36 states/eV per atom

Cell: 14.2958 14.2958 14.2958 Å, 109.47 109.47 109.47°
With the nearest neighbours (Å) after each atom.
Element x y z (fractional)
1 Ba 0.1250 0.2500 0.3750  8 S 3.23
2 Ba 0.1250 0.3750 0.7500  8 S 3.23
3 Ba 0.2500 0.3750 0.1250  8 S 3.23
4 Ba 0.2500 0.8750 0.6250  8 S 3.23
5 Ba 0.3750 0.1250 0.2500  8 S 3.23
6 Ba 0.3750 0.7500 0.1250  8 S 3.23
7 Ba 0.6250 0.2500 0.8750  8 S 3.23
8 Ba 0.6250 0.8750 0.7500  8 S 3.23
9 Ba 0.7500 0.1250 0.3750  8 S 3.23
10 Ba 0.7500 0.6250 0.8750  8 S 3.23
11 Ba 0.8750 0.6250 0.2500  8 S 3.23
12 Ba 0.8750 0.7500 0.6250  8 S 3.23
13 In 0.0000 0.0000 0.0000  6 S 2.65
14 In 0.0000 0.0000 0.5000  6 S 2.65
15 In 0.0000 0.5000 0.0000  6 S 2.65
16 In 0.0000 0.5000 0.5000  6 S 2.65
17 In 0.1250 0.7500 0.8750  4 S 2.50
18 In 0.1250 0.8750 0.2500  4 S 2.50
19 In 0.2500 0.1250 0.8750  4 S 2.50
20 In 0.2500 0.6250 0.3750  4 S 2.50
21 In 0.3750 0.2500 0.6250  4 S 2.50
22 In 0.3750 0.6250 0.7500  4 S 2.50
23 In 0.5000 0.0000 0.0000  6 S 2.65
24 In 0.5000 0.0000 0.5000  6 S 2.65
25 In 0.5000 0.5000 0.0000  6 S 2.65
26 In 0.5000 0.5000 0.5000  6 S 2.65
27 In 0.6250 0.3750 0.2500  4 S 2.50
28 In 0.6250 0.7500 0.3750  4 S 2.50
29 In 0.7500 0.3750 0.6250  4 S 2.50
30 In 0.7500 0.8750 0.1250  4 S 2.50
31 In 0.8750 0.1250 0.7500  4 S 2.50
32 In 0.8750 0.2500 0.1250  4 S 2.50
33 S 0.0268 0.2045 0.1158  2 In 2.50-2.65
34 S 0.0268 0.3223 0.9111  2 In 2.50-2.65
35 S 0.0889 0.6158 0.4112  2 In 2.50-2.65
36 S 0.0888 0.7045 0.6777  2 In 2.50-2.65
37 S 0.0888 0.8842 0.4111  2 In 2.50-2.65
38 S 0.0889 0.9732 0.6777  2 In 2.50-2.65
39 S 0.1158 0.0268 0.2045  2 In 2.50-2.65
40 S 0.1158 0.5889 0.9112  2 In 2.50-2.65
41 S 0.1777 0.2045 0.5888  2 In 2.50-2.65
42 S 0.1777 0.4732 0.5889  2 In 2.50-2.65
43 S 0.2045 0.1158 0.0268  2 In 2.50-2.65
44 S 0.2045 0.5888 0.1777  2 In 2.50-2.65
45 S 0.2955 0.3223 0.9112  2 In 2.50-2.65
46 S 0.2955 0.4732 0.3842  2 In 2.50-2.65
47 S 0.3223 0.9111 0.0268  2 In 2.50-2.65
48 S 0.3223 0.9112 0.2955  2 In 2.50-2.65
49 S 0.3842 0.2955 0.4732  2 In 2.50-2.65
50 S 0.3842 0.5888 0.9111  2 In 2.50-2.65
51 S 0.4112 0.0889 0.6158  2 In 2.50-2.65
52 S 0.4111 0.0888 0.8842  2 In 2.50-2.65
53 S 0.4111 0.8223 0.5268  2 In 2.50-2.65
54 S 0.4112 0.8223 0.7955  2 In 2.50-2.65
55 S 0.4732 0.3842 0.2955  2 In 2.50-2.65
56 S 0.4732 0.5889 0.1777  2 In 2.50-2.65
57 S 0.5268 0.4111 0.8223  2 In 2.50-2.65
58 S 0.5268 0.6158 0.7045  2 In 2.50-2.65
59 S 0.5888 0.1777 0.2045  2 In 2.50-2.65
60 S 0.5889 0.1777 0.4732  2 In 2.50-2.65
61 S 0.5889 0.9112 0.1158  2 In 2.50-2.65
62 S 0.5888 0.9111 0.3842  2 In 2.50-2.65
63 S 0.6158 0.4112 0.0889  2 In 2.50-2.65
64 S 0.6158 0.7045 0.5268  2 In 2.50-2.65
65 S 0.6777 0.0888 0.7045  2 In 2.50-2.65
66 S 0.6777 0.0889 0.9732  2 In 2.50-2.65
67 S 0.7045 0.5268 0.6158  2 In 2.50-2.65
68 S 0.7045 0.6777 0.0888  2 In 2.50-2.65
69 S 0.7955 0.4112 0.8223  2 In 2.50-2.65
70 S 0.7955 0.8842 0.9732  2 In 2.50-2.65
71 S 0.8223 0.5268 0.4111  2 In 2.50-2.65
72 S 0.8223 0.7955 0.4112  2 In 2.50-2.65
73 S 0.8842 0.4111 0.0888  2 In 2.50-2.65
74 S 0.8842 0.9732 0.7955  2 In 2.50-2.65
75 S 0.9111 0.0268 0.3223  2 In 2.50-2.65
76 S 0.9112 0.1158 0.5889  2 In 2.50-2.65
77 S 0.9112 0.2955 0.3223  2 In 2.50-2.65
78 S 0.9111 0.3842 0.5888  2 In 2.50-2.65
79 S 0.9732 0.6777 0.0889  2 In 2.50-2.65
80 S 0.9732 0.7955 0.8842  2 In 2.50-2.65

Please write out number 1 again, unchanged.
A geometry-optimized RbMg2Ge2 structure. Source: Alexandria, functional PBE.

raw total energy: -2.840 eV/atom
magnetic moment: 0.00 μB per formula unit
DOS(E_F): 0.44 states/eV per atom
energy of formation: -0.1619 eV per atom

Cell: 6.5562 6.5562 6.5562 Å, 137.14 137.14 62.22°
With the nearest neighbours (Å) after each atom.
Element x y z (fractional)
1 Rb 0.0000 0.0000 0.0000  8 Ge 3.62, 8 Mg 3.69
2 Mg 0.2500 0.7500 0.5000  4 Ge 2.84
3 Mg 0.7500 0.2500 0.5000  4 Ge 2.84
4 Ge 0.3861 0.3861 0.0000  1 Ge 2.56, 4 Mg 2.84
5 Ge 0.6139 0.6139 0.0000  1 Ge 2.56, 4 Mg 2.84

Which of these has the lowest DOS(E_F)?
RbMg2Ge2